--- w ---
This record from the Alexandria database describes crystalline NaHfI2N at its relaxed geometry. The functional is GGA-PBE.

Structure (extended XYZ):
```
5
Lattice="5.968 0.000 0.000 0.000 5.968 0.000 0.000 0.000 4.042" Properties=species:S:1:pos:R:3 pbc="T T T"
Na 0.000 0.000 0.000
Hf 2.984 2.984 2.021
I 0.000 2.984 2.021
I 2.984 0.000 2.021
N 2.984 2.984 0.000
```

Output
Crystal system: tetragonal
SG: P4/mmm (123)
Spin magnetization, Bohr magnetons per cell: 0.00

--- x ---
This record from the Alexandria database describes crystalline NaHfI2N at its relaxed geometry. The functional is GGA-PBE.

Structure (extended XYZ):
```
5
Lattice="5.523 0.000 0.000 0.000 5.523 0.000 0.000 0.000 4.124" Properties=species:S:1:pos:R:3 pbc="T T T"
Na 0.000 0.000 0.000
Hf 2.762 2.762 2.062
I 0.000 2.762 0.000
I 2.762 0.000 0.000
N 0.000 0.000 2.062
```

Output
Crystal system: tetragonal
SG: P4/mmm (123)
Spin magnetization, Bohr magnetons per cell: 0.96

Top of the stability list: w, leading by 1.779 eV/atom.

--- w ---
This record from the Alexandria database describes crystalline HfNbIN2 at its relaxed geometry. The functional is GGA-PBE.

Structure (extended XYZ):
```
5
Lattice="4.201 0.000 0.000 0.000 4.201 0.000 0.000 0.000 5.695" Properties=species:S:1:pos:R:3 pbc="T T T"
Hf 0.000 0.000 0.000
Nb 2.100 2.100 2.848
I 0.000 0.000 2.848
N 0.000 2.100 0.000
N 2.100 0.000 0.000
```

Output
Crystal system: tetragonal
SG: P4/mmm (123)
Spin magnetization, Bohr magnetons per cell: 2.49

--- x ---
This record from the Alexandria database describes crystalline HfNbIN2 at its relaxed geometry. The functional is GGA-PBE.

Structure (extended XYZ):
```
5
Lattice="4.118 0.000 0.000 0.000 4.118 0.000 0.000 0.000 5.454" Properties=species:S:1:pos:R:3 pbc="T T T"
Hf 0.000 0.000 0.000
Nb 2.059 2.059 2.727
I 2.059 2.059 0.000
N 0.000 2.059 2.727
N 2.059 0.000 2.727
```

Output
Crystal system: tetragonal
SG: P4/mmm (123)
Spin magnetization, Bohr magnetons per cell: 0.16

Top of the stability list: x, leading by 0.015 eV/atom.

--- w ---
This record from the Alexandria database describes crystalline HfI2NO at its relaxed geometry. The functional is GGA-PBE.

Structure (extended XYZ):
```
5
Lattice="5.792 0.000 0.000 0.000 5.792 0.000 0.000 0.000 4.013" Properties=species:S:1:pos:R:3 pbc="T T T"
Hf 0.000 0.000 0.000
I 0.000 2.896 0.000
I 2.896 0.000 0.000
N 0.000 0.000 2.007
O 2.896 2.896 2.007
```

Output
Crystal system: tetragonal
SG: P4/mmm (123)
Spin magnetization, Bohr magnetons per cell: 2.71

--- x ---
This record from the Alexandria database describes crystalline HfI2NO at its relaxed geometry. The functional is GGA-PBE.

Structure (extended XYZ):
```
5
Lattice="4.928 0.000 0.000 0.000 4.928 0.000 0.000 0.000 3.726" Properties=species:S:1:pos:R:3 pbc="T T T"
Hf 0.000 0.000 0.000
I 0.000 2.464 1.863
I 2.464 0.000 1.863
N 2.464 2.464 1.863
O 2.464 2.464 0.000
```

Output
Crystal system: tetragonal
SG: P4/mmm (123)
Spin magnetization, Bohr magnetons per cell: 0.00

--- y ---
This record from the Alexandria database describes crystalline HfI2NO at its relaxed geometry. The functional is GGA-PBE.

Structure (extended XYZ):
```
5
Lattice="5.830 0.000 0.000 0.000 5.830 0.000 0.000 0.000 3.974" Properties=species:S:1:pos:R:3 pbc="T T T"
Hf 0.000 0.000 0.000
I 0.000 2.915 0.000
I 2.915 0.000 0.000
N 2.915 2.915 1.987
O 0.000 0.000 1.987
```

Output
Crystal system: tetragonal
SG: P4/mmm (123)
Spin magnetization, Bohr magnetons per cell: 3.01

Top of the stability list: y, leading by 0.543 eV/atom.

--- w ---
This record from the Alexandria database describes crystalline HfOsI2N at its relaxed geometry. The functional is GGA-PBE.

Structure (extended XYZ):
```
5
Lattice="5.838 0.000 0.000 0.000 5.838 0.000 0.000 0.000 3.930" Properties=species:S:1:pos:R:3 pbc="T T T"
Hf 0.000 0.000 0.000
Os 2.919 2.919 1.965
I 0.000 2.919 0.000
I 2.919 0.000 0.000
N 0.000 0.000 1.965
```

Output
Crystal system: tetragonal
SG: P4/mmm (123)
Spin magnetization, Bohr magnetons per cell: 3.64

--- x ---
This record from the Alexandria database describes crystalline HfOsI2N at its relaxed geometry. The functional is GGA-PBE.

Structure (extended XYZ):
```
5
Lattice="5.561 0.000 0.000 0.000 5.561 0.000 0.000 0.000 3.698" Properties=species:S:1:pos:R:3 pbc="T T T"
Hf 0.000 0.000 0.000
Os 2.780 2.780 1.849
I 0.000 2.780 1.849
I 2.780 0.000 1.849
N 2.780 2.780 0.000
```

Output
Crystal system: tetragonal
SG: P4/mmm (123)
Spin magnetization, Bohr magnetons per cell: 0.00

Top of the stability list: x, leading by 0.308 eV/atom.

--- w ---
This record from the Alexandria database describes crystalline HfPbIN2 at its relaxed geometry. The functional is GGA-PBE.

Structure (extended XYZ):
```
5
Lattice="4.463 0.000 0.000 0.000 4.463 0.000 0.000 0.000 5.728" Properties=species:S:1:pos:R:3 pbc="T T T"
Hf 0.000 0.000 0.000
Pb 2.231 2.231 2.864
I 0.000 0.000 2.864
N 0.000 2.231 0.000
N 2.231 0.000 0.000
```

Output
Crystal system: tetragonal
SG: P4/mmm (123)
Spin magnetization, Bohr magnetons per cell: 0.87

--- x ---
This record from the Alexandria database describes crystalline HfPbIN2 at its relaxed geometry. The functional is GGA-PBE.

Structure (extended XYZ):
```
5
Lattice="4.376 0.000 0.000 0.000 4.376 0.000 0.000 0.000 5.927" Properties=species:S:1:pos:R:3 pbc="T T T"
Hf 0.000 0.000 0.000
Pb 2.188 2.188 2.963
I 2.188 2.188 0.000
N 0.000 2.188 2.963
N 2.188 0.000 2.963
```

Output
Crystal system: tetragonal
SG: P4/mmm (123)
Spin magnetization, Bohr magnetons per cell: 0.20

Top of the stability list: w, leading by 1.509 eV/atom.

--- w ---
This record from the Alexandria database describes crystalline HfPtI2N at its relaxed geometry. The functional is GGA-PBE.

Structure (extended XYZ):
```
5
Lattice="5.814 0.000 0.000 0.000 5.814 0.000 0.000 0.000 3.676" Properties=species:S:1:pos:R:3 pbc="T T T"
Hf 0.000 0.000 0.000
Pt 2.907 2.907 1.838
I 0.000 2.907 1.838
I 2.907 0.000 1.838
N 2.907 2.907 0.000
```

Output
Crystal system: tetragonal
SG: P4/mmm (123)
Spin magnetization, Bohr magnetons per cell: 1.32

--- x ---
This record from the Alexandria database describes crystalline HfPtI2N at its relaxed geometry. The functional is GGA-PBE.

Structure (extended XYZ):
```
5
Lattice="5.783 0.000 0.000 0.000 5.783 0.000 0.000 0.000 3.911" Properties=species:S:1:pos:R:3 pbc="T T T"
Hf 0.000 0.000 0.000
Pt 2.891 2.891 1.955
I 0.000 2.891 0.000
I 2.891 0.000 0.000
N 0.000 0.000 1.955
```

Output
Crystal system: tetragonal
SG: P4/mmm (123)
Spin magnetization, Bohr magnetons per cell: 0.74

Top of the stability list: x, leading by 0.351 eV/atom.